Record 1
Here is a relaxed structure of Dy2CdOs from Alexandria. Energies are from PBE-GGA.

Calculated values
**Spin magnetization**: 0.0 μB per cell
**ΔE_f**: -30 kJ per mole of atoms

a b c (Å): 3.4455 3.4455 7.7955
angles (deg): 90.00 90.00 90.00
Closest atoms and distances in Å follow each position.
Space group P4/mmm (No. 123)
One atom of each set of equivalent atoms:
Dy 0.0000 0.0000 0.2126  4 Os 2.95
Cd 0.5000 0.5000 0.5000  8 Dy 3.31, 4 Cd 3.45
Os 0.5000 0.5000 0.0000  8 Dy 2.95

---

Record 2
Here is a relaxed structure of Dy8Cd2Os from Alexandria. Energies are from PBE-GGA.

Calculated values
**Spin magnetization**: 0.0 μB per cell
**ΔE_f**: -17 kJ per mole of atoms

a b c (Å): 17.5790 5.3094 6.9732
angles (deg): 90.00 110.37 90.00
Closest atoms and distances in Å follow each position.
Space group C2/m (No. 12)
One atom of each set of equivalent atoms:
Dy 0.0198 0.0000 0.2898  1 Cd 3.10, 2 Os 3.11, 5 Dy 3.24-3.45
Dy 0.0927 0.5000 0.9200  1 Os 2.81
Dy 0.1522 0.5000 0.4507  1 Os 2.81, 1 Cd 3.08
Dy 0.1968 0.0000 0.7860  1 Cd 3.02
Cd 0.1811 0.0000 0.2031  7 Dy 3.02-3.35
Os 0.0000 0.5000 0.5000  8 Dy 2.81-3.11

---

Record 3
Here is a relaxed structure of Dy2CdOs from Alexandria. Energies are from PBE-GGA.

Calculated values
**Spin magnetization**: 0.0 μB per cell
**ΔE_f**: -21 kJ per mole of atoms

a b c (Å): 7.0900 7.0900 7.0900
angles (deg): 90.00 90.00 90.00
Closest atoms and distances in Å follow each position.
Space group Fm-3m (No. 225)
One atom of each set of equivalent atoms:
Dy 0.2500 0.2500 0.2500  4 Cd 3.07, 4 Os 3.07
Cd 0.0000 0.0000 0.0000  8 Dy 3.07
Os 0.0000 0.0000 0.5000  8 Dy 3.07

---

Record 4
Here is a relaxed structure of PrDyCdOs from Alexandria. Energies are from PBE-GGA.

Calculated values
**Spin magnetization**: 0.0 μB per cell
**ΔE_f**: -10 kJ per mole of atoms

a b c (Å): 7.2405 7.2405 7.2405
angles (deg): 90.00 90.00 90.00
Closest atoms and distances in Å follow each position.
Space group F-43m (No. 216)
One atom of each set of equivalent atoms:
Pr 0.0000 0.0000 0.0000  4 Cd 3.14, 4 Os 3.14
Dy 0.0000 0.0000 0.5000  4 Cd 3.14, 4 Os 3.14
Cd 0.2500 0.2500 0.7500  4 Dy 3.14, 4 Pr 3.14
Os 0.2500 0.2500 0.2500  4 Dy 3.14, 4 Pr 3.14